# 1
! AlAg2B2O6 PBE-GGA optimized geometry; values from VASP
&SYSTEM
  ibrav = 0, nat = 11, ntyp = 4
/
ATOMIC_SPECIES
Al 26.98 Al.upf
Ag 107.87 Ag.upf
B 10.81 B.upf
O 16.00 O.upf
CELL_PARAMETERS angstrom
-4.823 1.261 0.005
1.857 -2.764 3.709
1.282 4.890 3.003
ATOMIC_POSITIONS angstrom
Al 0.000 0.000 0.000
Ag -1.707 3.312 3.323
Ag 0.023 0.075 3.394
B 0.676 2.564 4.922
B -2.359 0.823 1.795
O 1.143 3.112 3.742
O -0.666 2.663 5.245
O 1.520 1.804 5.711
O -2.826 0.275 2.975
O -1.018 0.724 1.472
O -3.203 1.583 1.006
! Calculated total energy   -6.479 eV per atom
! Total moment   1.0 Bohr magnetons per cell

***

# 2
! Al2AgBPt PBE-GGA optimized geometry; values from VASP
&SYSTEM
  ibrav = 0, nat = 5, ntyp = 4
/
ATOMIC_SPECIES
B 10.81 B.upf
Ag 107.87 Ag.upf
Pt 195.08 Pt.upf
Al 26.98 Al.upf
CELL_PARAMETERS angstrom
-1.757 -3.485 -2.555
4.802 -1.116 -1.779
0.639 -2.937 3.567
ATOMIC_POSITIONS angstrom
B 1.842 -3.769 -0.383
Ag 2.401 -0.558 -0.889
Pt 0.000 0.000 0.000
Al 0.319 -1.468 1.783
Al -0.878 -1.742 -1.277
! Total moment   0.0 Bohr magnetons per cell
! ΔH_f (0 K)   4.30 eV/f.u.

***

# 3
! BaAlAg2 PBE-GGA optimized geometry; values from VASP
&SYSTEM
  ibrav = 0, nat = 8, ntyp = 3
/
ATOMIC_SPECIES
Ba 137.33 Ba.upf
Ag 107.87 Ag.upf
Al 26.98 Al.upf
CELL_PARAMETERS angstrom
5.393 0.000 0.000
0.000 5.393 0.000
2.697 2.697 8.814
ATOMIC_POSITIONS angstrom
Ba 0.000 0.000 0.000
Ba 5.393 2.697 4.407
Ag 2.698 1.348 2.203
Ag 2.695 4.045 2.203
Ag 4.045 5.392 6.610
Ag 6.742 5.395 6.610
Al 2.697 2.697 0.000
Al 2.697 5.393 4.407
! Total moment   0.0 Bohr magnetons per cell
! ΔH_f (0 K)   -0.26 eV/f.u.

***

# 4
! BaAlAg3 PBE-GGA optimized geometry; values from VASP
&SYSTEM
  ibrav = 0, nat = 20, ntyp = 3
/
ATOMIC_SPECIES
Ba 137.33 Ba.upf
Al 26.98 Al.upf
Ag 107.87 Ag.upf
CELL_PARAMETERS angstrom
-1.739 -0.101 5.626
0.051 -9.245 -0.151
8.809 0.479 2.732
ATOMIC_POSITIONS angstrom
Ba 0.800 -4.845 5.362
Ba 6.321 -4.022 2.845
Ba 1.616 -8.903 2.458
Ba 5.504 0.036 5.749
Al 0.284 -2.927 2.229
Al 6.836 -5.941 5.978
Al 2.038 -1.579 5.878
Al 5.082 -7.289 2.329
Ag 2.877 -2.777 2.636
Ag 4.244 -6.091 5.571
Ag -0.330 -1.716 4.746
Ag 7.451 -7.152 3.461
Ag 3.102 -5.701 3.003
Ag 4.019 -3.167 5.205
Ag -0.701 -8.049 4.867
Ag 7.822 -0.819 3.340
Ag 2.164 -8.127 5.695
Ag 4.956 -0.740 2.512
Ag 0.268 -5.620 2.071
Ag 6.853 -3.247 6.136
! Total moment   0.0 Bohr magnetons per cell
! ΔH_f (0 K)   -0.63 eV/f.u.